! VCdSe2Br, optimized geometry, DFT PBE-GGA; values from VASP
&SYSTEM
  ibrav = 0, nat = 5, ntyp = 4
/
ATOMIC_SPECIES
Cd 112.41 Cd.upf
Se 78.96 Se.upf
V 50.94 V.upf
Br 79.90 Br.upf
CELL_PARAMETERS angstrom
4.842 0.000 0.000
0.000 4.842 0.000
0.000 0.000 5.303
ATOMIC_POSITIONS crystal
Cd 0.500 0.500 0.500
Se 0.000 0.500 0.000
Se 0.500 0.000 0.000
V 0.000 0.000 0.000
Br 0.000 0.000 0.500
! Formation energy from raw total energies ... -0.188 eV per atom
! Final energy ... -19.62 eV/cell
! ΔE to the lowest computed polymorph ... 0.000 eV per atom

***

! CdWSeBr2, optimized geometry, DFT PBE-GGA; values from VASP
&SYSTEM
  ibrav = 0, nat = 5, ntyp = 4
/
ATOMIC_SPECIES
Br 79.90 Br.upf
W 183.84 W.upf
Se 78.96 Se.upf
Cd 112.41 Cd.upf
CELL_PARAMETERS angstrom
-3.829 -3.331 1.271
1.118 -2.893 -4.213
3.580 -2.974 2.992
ATOMIC_POSITIONS crystal
Br 0.500 0.000 0.000
W 0.500 0.500 0.500
Br 0.000 0.500 0.000
Se 0.000 0.000 0.500
Cd 0.000 0.000 0.000
! Formation energy from raw total energies ... 1.099 eV per atom
! Final energy ... -15.20 eV/cell
! ΔE to the lowest computed polymorph ... 0.901 eV per atom